[1]
TbNdEr2: optimized geometry, PBE.

Summary:
Final energy: -4.612 eV per atom
Formation energy: 19 meV/atom
Space-group type: R-3m (166)
Polymorph energy (0 for the lowest one): 0.0195 eV/atom

```
TbNdEr2
1.0
-2.722 2.102 0.945
-2.558 0.775 -2.362
-7.742 -8.332 2.958
Nd Tb Er
1 1 2
Direct
0.000 0.000 0.000
0.500 0.500 0.500
0.751 0.751 0.747
0.249 0.249 0.253
```


[2]
LiCeAlO4: optimized geometry, PBE.

Summary:
Final energy: -7.298 eV per atom
Energy relative to the elements, uncorrected: -2.809 eV/atom
Space-group type: Imma (74)

```
LiCeAlO4
1.0
5.873 0.000 0.000
2.936 5.608 -0.349
2.936 1.376 5.447
Li O Al Ce
2 8 2 2
Direct
0.600 0.650 0.150
0.400 0.350 0.850
0.251 0.817 0.681
0.251 0.181 0.317
0.749 0.183 0.319
0.745 0.771 0.271
0.749 0.819 0.683
0.255 0.229 0.729
0.214 0.771 0.271
0.786 0.229 0.729
0.500 0.000 0.500
0.000 0.000 0.500
0.000 0.000 0.000
0.000 0.500 0.500
```


Repeat the second record exactly.
LiCeAlO4: optimized geometry, PBE.

Summary:
Final energy: -7.298 eV per atom
Energy relative to the elements, uncorrected: -2.809 eV/atom
Space-group type: Imma (74)

```
LiCeAlO4
1.0
5.873 0.000 0.000
2.936 5.608 -0.349
2.936 1.376 5.447
Li O Al Ce
2 8 2 2
Direct
0.600 0.650 0.150
0.400 0.350 0.850
0.251 0.817 0.681
0.251 0.181 0.317
0.749 0.183 0.319
0.745 0.771 0.271
0.749 0.819 0.683
0.255 0.229 0.729
0.214 0.771 0.271
0.786 0.229 0.729
0.500 0.000 0.500
0.000 0.000 0.500
0.000 0.000 0.000
0.000 0.500 0.500
```


The highest final energy belongs to which entry? TbNdEr2


Among the records above, which one has the lowest final energy? LiCeAlO4